Entry 1:
# KRbW2 PBE optimized geometry
data_KRbW2
_chemical_formula_sum 'K4 Rb4 W8'
_cell_length_a 8.544
_cell_length_b 8.544
_cell_length_c 8.544
_cell_angle_alpha 90.00
_cell_angle_beta 90.00
_cell_angle_gamma 90.00
_symmetry_space_group_name_H-M 'F m -3 m'
_symmetry_Int_Tables_number 225
_symmetry_space_group_name_Hall '-F 4 2 3'
loop_
_atom_site_label
_atom_site_fract_x
_atom_site_fract_y
_atom_site_fract_z
_atom_site_occupancy
K1 0.000 0.000 0.000 1
Rb1 0.000 0.000 0.500 1
W1 0.250 0.250 0.250 1
# spin magnetization = 10.086 μB/f.u.
# Fermi-level density of states = 5.7 states/eV/cell
# total energy = -3.9367 eV per atom
# E above lowest polymorph = 0.4122 eV/atom
# formation enthalpy at 0 K = 3.06 eV/atom

---

Entry 2:
# MnFeSiB2 PBE optimized geometry
data_MnFeSiB2
_chemical_formula_sum 'Mn1 Fe1 Si1 B2'
_cell_length_a 3.673
_cell_length_b 3.673
_cell_length_c 4.229
_cell_angle_alpha 90.00
_cell_angle_beta 90.00
_cell_angle_gamma 90.00
_symmetry_space_group_name_H-M 'P 4/m m m'
_symmetry_Int_Tables_number 123
_symmetry_space_group_name_Hall '-P 4 2'
loop_
_atom_site_label
_atom_site_fract_x
_atom_site_fract_y
_atom_site_fract_z
_atom_site_occupancy
Mn1 0.000 0.000 0.000 1
Fe1 0.500 0.500 0.500 1
Si1 0.500 0.500 0.000 1
B1 0.000 0.500 0.500 1
# spin magnetization = 0.012 μB/f.u.
# Fermi-level density of states = 7.4 states/eV/cell
# total energy = -6.2701 eV per atom
# formation energy (no corrections) = 1.012 eV/atom